Entry 1:
# Ba2Fe2ClF7 (PBE with a Hubbard U, relaxed)
data_Ba2Fe2ClF7
_chemical_formula_sum 'Ba4 Fe4 Cl2 F14'
_cell_length_a 7.9936
_cell_length_b 5.8327
_cell_length_c 9.1559
_cell_angle_alpha 90.00
_cell_angle_beta 106.84
_cell_angle_gamma 90.00
_space_group_name_H-M_alt 'P 1 21/m 1'
_space_group_IT_number 11
loop_
_space_group_symop_operation_xyz
'x,y,z'
'-x,-y,-z'
'-x,y+1/2,-z'
'x,-y+1/2,z'
loop_
_atom_site_label
_atom_site_type_symbol
_atom_site_fract_x
_atom_site_fract_y
_atom_site_fract_z
Ba1 Ba 0.1655 0.2500 0.4123
Ba2 Ba 0.1912 0.2500 0.9254
Fe1 Fe 0.3168 0.7500 0.1748
Fe2 Fe 0.3258 0.7500 0.7343
Cl1 Cl 0.3812 0.7500 0.4694
F1 F 0.1257 0.5066 0.1609
F2 F 0.1349 0.5019 0.6527
F3 F 0.2392 0.7500 0.9323
F4 F 0.4934 0.0031 0.1680
# - M_tot (μB/f.u.) = 8.00
# - E (eV per cell) = -132.5
# - volume (Å³ per atom) = 17.024

Entry 2:
# BaFeCl2F (PBE with a Hubbard U, relaxed)
data_BaFeCl2F
_chemical_formula_sum 'Ba1 Fe1 Cl2 F1'
_cell_length_a 5.6430
_cell_length_b 5.6430
_cell_length_c 3.8028
_cell_angle_alpha 90.00
_cell_angle_beta 90.00
_cell_angle_gamma 90.00
_space_group_name_H-M_alt 'P 4/m m m'
_space_group_IT_number 123
_space_group_name_Hall '-P 4 2'
loop_
_atom_site_label
_atom_site_type_symbol
_atom_site_fract_x
_atom_site_fract_y
_atom_site_fract_z
Ba1 Ba 0.0000 0.0000 0.0000
Fe1 Fe 0.5000 0.5000 0.0000
Cl1 Cl 0.0000 0.5000 0.5000
F1 F 0.5000 0.5000 0.5000
# - M_tot (μB/f.u.) = 3.06
# - E (eV per cell) = -20.9
# - volume (Å³ per atom) = 24.219

Entry 3:
# Ba2FeClF5 (PBE with a Hubbard U, relaxed)
data_Ba2FeClF5
_chemical_formula_sum 'Ba4 Fe2 Cl2 F10'
_cell_length_a 6.1536
_cell_length_b 6.1536
_cell_length_c 9.0488
_cell_angle_alpha 90.00
_cell_angle_beta 90.00
_cell_angle_gamma 90.00
_space_group_name_H-M_alt 'I 4 m m'
_space_group_IT_number 107
_space_group_name_Hall 'I 4 -2'
loop_
_atom_site_label
_atom_site_type_symbol
_atom_site_fract_x
_atom_site_fract_y
_atom_site_fract_z
Ba1 Ba 0.0000 0.5000 0.0000
Fe1 Fe 0.0000 0.0000 0.3000
Cl1 Cl 0.0000 0.0000 0.5867
F1 F 0.0000 0.0000 0.0713
F2 F 0.2343 0.2343 0.3229
# - M_tot (μB/f.u.) = 4.00
# - E (eV per cell) = -94.1
# - volume (Å³ per atom) = 19.036

> Number 3 is which compound?

Ba2FeClF5

Copy entry 2 word for word.
# BaFeCl2F (PBE with a Hubbard U, relaxed)
data_BaFeCl2F
_chemical_formula_sum 'Ba1 Fe1 Cl2 F1'
_cell_length_a 5.6430
_cell_length_b 5.6430
_cell_length_c 3.8028
_cell_angle_alpha 90.00
_cell_angle_beta 90.00
_cell_angle_gamma 90.00
_space_group_name_H-M_alt 'P 4/m m m'
_space_group_IT_number 123
_space_group_name_Hall '-P 4 2'
loop_
_atom_site_label
_atom_site_type_symbol
_atom_site_fract_x
_atom_site_fract_y
_atom_site_fract_z
Ba1 Ba 0.0000 0.0000 0.0000
Fe1 Fe 0.5000 0.5000 0.0000
Cl1 Cl 0.0000 0.5000 0.5000
F1 F 0.5000 0.5000 0.5000
# - M_tot (μB/f.u.) = 3.06
# - E (eV per cell) = -20.9
# - volume (Å³ per atom) = 24.219

> Number 2 is which compound?

BaFeCl2F